No. 1
Here is a geometry-optimized LaNiIr structure from Alexandria. Energies are from PBEsol.

Output
* ΔH_f (0 K): 0.11 eV/atom
* calculated density: 10.3 g/cm³

Lattice parameters (Å, degrees): 4.461 4.461 4.461 60.00 60.00 60.00
Sites, in units of the cell vectors:
Ir: 0.250 0.250 0.250
La: 0.000 0.000 0.000
Ni: 0.500 0.500 0.500

=====

No. 2
Here is a geometry-optimized LaNiIr2 structure from Alexandria. Energies are from PBEsol.

Output
* ΔE to the lowest computed polymorph: 0.065 eV per atom
* ΔH_f (0 K): 0.13 eV/atom
* calculated density: 14.5 g/cm³

Lattice parameters (Å, degrees): 2.991 4.840 4.840 108.55 90.00 90.00
Sites, in units of the cell vectors:
Ir: 0.000 0.000 0.500
La: 0.500 0.000 0.000
Ir: 0.000 0.500 0.000
Ni: 0.500 0.500 0.500

=====

No. 3
Here is a geometry-optimized LaNiIr2 structure from Alexandria. Energies are from PBEsol.

Output
* ΔE to the lowest computed polymorph: 0.043 eV per atom
* ΔH_f (0 K): 0.11 eV/atom
* calculated density: 14.2 g/cm³

Lattice parameters (Å, degrees): 3.175 3.175 6.762 90.00 90.00 90.00
Sites, in units of the cell vectors:
Ni: 0.500 0.500 0.817
Ir: 0.500 0.500 0.194
La: 0.000 0.000 0.513
Ir: 0.000 0.000 0.977

=====

No. 4
Here is a geometry-optimized LaIrO2 structure from Alexandria. Energies are from PBEsol.

Output
* formation energy from raw total energies: -1393 meV/atom
* calculated density: 9.8 g/cm³

Lattice parameters (Å, degrees): 4.352 4.352 7.162 107.69 107.69 90.00
Sites, in units of the cell vectors:
O: 0.125 0.054 0.750
La: 0.750 0.250 0.500
O: 0.946 0.375 0.250
O: 0.625 0.696 0.750
Ir: 0.250 0.750 0.500
Ir: 0.000 0.000 0.000
O: 0.304 0.875 0.250
La: 0.500 0.500 0.000